No. 1
The following is a DFT calculation (PBE) of a geometry-optimized ZnCoCuOs structure.

a = 4.161 Å, b = 4.161 Å, c = 4.161 Å
α = 60.00°, β = 60.00°, γ = 60.00°
Element x y z (fractional)
Zn  0.000  0.000  0.000
Co  0.500  0.500  0.500
Cu  0.250  0.250  0.250
Os  0.750  0.750  0.750

Properties
- Density: 12.33 g/cm³
- Calculated formation energy: 1.11 eV per formula unit
- Polymorph energy (0 for the lowest one): 0.0000 eV/atom
- Space-group type: F-43m



No. 2
The following is a DFT calculation (PBE) of a geometry-optimized Co3CuP5 structure.

a = 4.695 Å, b = 4.695 Å, c = 6.502 Å
α = 90.00°, β = 90.00°, γ = 120.00°
Element x y z (fractional)
Co  0.000  0.500  0.000
Co  0.500  0.000  0.000
Co  0.500  0.500  0.000
Cu  0.000  0.000  0.500
P  0.000  0.000  0.000
P  0.333  0.667  0.288
P  0.333  0.667  0.712
P  0.667  0.333  0.288
P  0.667  0.333  0.712

Properties
- Density: 5.29 g/cm³
- Uncorrected energy: -5.624 eV per atom
- Space-group type: P6/mmm



No. 3
The following is a DFT calculation (PBE) of a geometry-optimized PrCoCu2P4 structure.

a = 3.754 Å, b = 3.754 Å, c = 8.840 Å
α = 90.00°, β = 90.00°, γ = 90.00°
Element x y z (fractional)
Pr  0.000  0.000  0.000
Co  0.500  0.500  0.576
Cu  0.000  0.500  0.309
Cu  0.500  0.000  0.309
P  0.000  0.000  0.475
P  0.000  0.500  0.726
P  0.500  0.000  0.726
P  0.500  0.500  0.136

Properties
- Density: 6.01 g/cm³
- Uncorrected energy: -5.415 eV per atom
- Space-group type: P4mm



The evaluated size of the total moment for the records listed, in turn: 2.1 0.0 0.2 Bohr magnetons per cell.